VASP calculation (PBE+U) on an optimized crystal structure of BaPmMo2O8.

Cell: 6.0412 6.0412 7.6669 Å, 90.00 90.00 120.00°
Sites, in units of the cell vectors:
1 Ba 0.0000 0.0000 0.0000
2 Pm 0.0000 0.0000 0.5000
3 Mo 0.6667 0.3333 0.2213
4 Mo 0.3333 0.6667 0.7787
5 O 0.3333 0.6667 0.0112
6 O 0.3322 0.1662 0.2962
7 O 0.8338 0.1661 0.2962
8 O 0.6667 0.3333 0.9888
9 O 0.1662 0.8339 0.7038
10 O 0.6678 0.8338 0.7038
11 O 0.1661 0.3322 0.7038
12 O 0.8339 0.6678 0.2962

Total energy in eV/cell: -87.2
Space group: No. 164